Entry from Alexandria via LeMat-Bulk: a geometry-optimized TlHgPb2 structure (GGA-PBEsol).

The structure in POSCAR format:
```
TlHgPb2
1.0
3.660 0.000 0.000
0.000 4.361 0.000
0.000 0.000 6.899
Tl Hg Pb
1 1 2
direct
0.000 0.000 0.000
0.500 0.500 0.234
0.000 0.000 0.478
0.500 0.500 0.736
```

Final energy: -2.795 eV per atom
M_tot: 0.000 μB/atom
Formation enthalpy at 0 K: 0.004 eV per atom